# Tl2CoSiO4 (PBE+U, optimized geometry)
# calculated total energy: -5.8166 eV/atom
# DOS at the Fermi energy: 0.00 states/eV/atom
# crystal system: orthorhombic
data_Tl2CoSiO4
_cell_length_a 5.126
_cell_length_b 11.328
_cell_length_c 20.483
_cell_angle_alpha 90.00
_cell_angle_beta 90.00
_cell_angle_gamma 90.00
_symmetry_space_group_name_H-M 'F d d d'
_symmetry_Int_Tables_number 70
loop_
_symmetry_equiv_pos_as_xyz
'x,y,z'
'-x,-y,-z'
'-x+1/4,-y+1/4,z'
'x+1/4,y+1/4,-z'
'x,-y+1/4,-z+1/4'
'-x,y+1/4,z+1/4'
'-x+1/4,y,-z+1/4'
'x+1/4,-y,z+1/4'
'x,y+1/2,z+1/2'
'-x,-y+1/2,-z+1/2'
'-x+1/4,-y+3/4,z+1/2'
'x+1/4,y+3/4,-z+1/2'
'x,-y+3/4,-z+3/4'
'-x,y+3/4,z+3/4'
'-x+1/4,y+1/2,-z+3/4'
'x+1/4,-y+1/2,z+3/4'
'x+1/2,y,z+1/2'
'-x+1/2,-y,-z+1/2'
'-x+3/4,-y+1/4,z+1/2'
'x+3/4,y+1/4,-z+1/2'
'x+1/2,-y+1/4,-z+3/4'
'-x+1/2,y+1/4,z+3/4'
'-x+3/4,y,-z+3/4'
'x+3/4,-y,z+3/4'
'x+1/2,y+1/2,z'
'-x+1/2,-y+1/2,-z'
'-x+3/4,-y+3/4,z'
'x+3/4,y+3/4,-z'
'x+1/2,-y+3/4,-z+1/4'
'-x+1/2,y+3/4,z+1/4'
'-x+3/4,y+1/2,-z+1/4'
'x+3/4,-y+1/2,z+1/4'
loop_
_atom_site_label
_atom_site_fract_x
_atom_site_fract_y
_atom_site_fract_z
Tl1 0.125 0.125 0.304
Co1 0.125 0.125 0.125
Si1 0.125 0.125 0.625
O1 0.080 0.289 0.834